Compound: CrBr2F
Source: the Alexandria database
Functional: GGA+U
Structure: relaxed

- energy relative to the lowest polymorph listed for this composition (meV per atom) = 563

Cell and atoms, written as CIF:
```
data_CrBr2F
_chemical_formula_sum 'Cr3 Br6 F3'
_space_group_name_H-M_alt 'R -3 m'
_space_group_IT_number 166
_space_group_name_Hall '-R 3 2"'
_cell_length_a 3.7843
_cell_length_b 3.7843
_cell_length_c 23.3770
_cell_angle_alpha 90.00
_cell_angle_beta 90.00
_cell_angle_gamma 120.00
loop_
_atom_site_label
_atom_site_type_symbol
_atom_site_fract_x
_atom_site_fract_y
_atom_site_fract_z
Cr1 Cr 0.0000 0.0000 0.0000
Br1 Br 0.0000 0.0000 0.3968
F1 F 0.0000 0.0000 0.5000
```